Density functional theory data (PBE) for a geometry-optimized LiEuAg2 structure.

Geometry as extended XYZ:
```
12
Lattice="4.616 0.000 0.000 -2.308 3.998 0.000 0.000 0.000 15.608" Properties=species:S:1:pos:R:3 pbc="T T T"
Li 0.000 0.000 0.000
Li 0.000 2.665 10.406
Li 2.308 1.333 5.203
Eu 0.000 0.000 7.804
Eu 0.000 2.665 2.601
Eu 2.308 1.333 13.007
Ag 0.000 0.000 4.566
Ag 0.000 0.000 11.043
Ag 0.000 2.665 5.840
Ag 0.000 2.665 14.971
Ag 2.308 1.333 0.637
Ag 2.308 1.333 9.768
```

**Formation energy from the elements**: -0.2376 eV/atom
**Offset from the most stable computed form**: 0.000 eV/atom
**Density of states at the Fermi level**: 12.24 states/eV/f.u.

=====

Density functional theory data (PBE) for a geometry-optimized AcNdGe2 structure.

Geometry as extended XYZ:
```
4
Lattice="5.096 0.000 0.000 0.000 5.096 0.000 0.000 0.000 4.206" Properties=species:S:1:pos:R:3 pbc="T T T"
Ac 0.000 0.000 0.000
Nd 2.548 2.548 0.000
Ge 0.000 2.548 2.103
Ge 2.548 0.000 2.103
```

**Formation energy from the elements**: -0.5402 eV/atom
**Density of states at the Fermi level**: 3.85 states/eV/f.u.

=====

> Which formula does entry 2 have?

AcNdGe2